The following is a GGA-PBE calculation of an optimized crystal structure of RbMgAg, from Alexandria.

raw total energy	-1.785	eV/atom
symmetry	I4/mmm (139)
spin magnetization	0.000	μB per atom

Cell lengths 4.8928, 4.8928, 9.5015 Å; angles 104.92, 104.92, 90.00 degrees
Last column: nearest neighbours and their distance in Å.
Sites, in units of the cell vectors:
Ag: 0.0833 0.0833 0.1666  4 Mg 2.86, 1 Ag 2.95
Ag: 0.9167 0.9167 0.8334  4 Mg 2.86, 1 Ag 2.95
Rb: 0.3255 0.3255 0.6510  4 Ag 3.82, 4 Mg 3.94
Rb: 0.6745 0.6745 0.3490  4 Ag 3.82, 4 Mg 3.94
Mg: 0.5000 0.0000 0.0000  4 Ag 2.86
Mg: 0.0000 0.5000 0.0000  4 Ag 2.86

=====

The following is a GGA-PBE calculation of an optimized crystal structure of Er8ZnPt2, from Alexandria.

raw total energy	-4.984	eV/atom
symmetry	Cm (8)
spin magnetization	0.000	μB per atom

Cell lengths 5.4829, 7.8490, 7.8490 Å; angles 114.16, 98.34, 98.34 degrees
Last column: nearest neighbours and their distance in Å.
Sites, in units of the cell vectors:
Er: 0.5836 0.3344 0.0812  2 Pt 2.83-2.90
Er: 0.5836 0.0812 0.3344  2 Pt 2.83-2.90
Er: 0.1882 0.3825 0.3825  2 Pt 3.09, 1 Zn 3.14, 3 Er 3.32-3.38
Er: 0.9968 0.2375 0.7664  2 Pt 2.89-2.90, 1 Zn 3.11
Er: 0.9968 0.7664 0.2375  2 Pt 2.89-2.90, 1 Zn 3.11
Er: 0.8064 0.6269 0.6269  2 Pt 3.09, 1 Zn 3.11, 3 Er 3.32-3.40
Er: 0.4035 0.9252 0.6716  2 Pt 2.84-2.90
Er: 0.4035 0.6716 0.9252  2 Pt 2.84-2.90
Zn: 0.0436 0.0013 0.0013  8 Er 3.11-3.45
Pt: 0.4968 0.6975 0.3094  8 Er 2.83-3.09
Pt: 0.4968 0.3094 0.6975  8 Er 2.83-3.09

=====

The following is a GGA-PBE calculation of an optimized crystal structure of ScIr2, from Alexandria.

raw total energy	-8.061	eV/atom
symmetry	P-62m (189)
spin magnetization	0.004	μB per atom

Cell lengths 6.5312, 6.5312, 4.1219 Å; angles 90.00, 90.00, 120.00 degrees
Last column: nearest neighbours and their distance in Å.
Sites, in units of the cell vectors:
Sc: 0.0000 0.0000 0.5000  9 Ir 2.60-2.80
Sc: 0.3333 0.6667 0.0000  3 Ir 2.52
Sc: 0.6667 0.3333 0.0000  3 Ir 2.52
Ir: 0.0000 0.2433 0.0000  4 Sc 2.52-2.60, 2 Ir 2.75
Ir: 0.0000 0.5720 0.5000  5 Sc 2.80-2.83, 2 Ir 2.98
Ir: 0.2433 0.0000 0.0000  4 Sc 2.52-2.60, 2 Ir 2.75
Ir: 0.7567 0.7567 0.0000  4 Sc 2.52-2.60, 2 Ir 2.75
Ir: 0.5720 0.0000 0.5000  5 Sc 2.80-2.83, 2 Ir 2.98
Ir: 0.4280 0.4280 0.5000  5 Sc 2.80-2.83, 2 Ir 2.98

=====

Which value of raw total energy does entry 2 give? -4.984 eV/atom

=====

Repeat the second record exactly.
The following is a GGA-PBE calculation of an optimized crystal structure of Er8ZnPt2, from Alexandria.

raw total energy	-4.984	eV/atom
symmetry	Cm (8)
spin magnetization	0.000	μB per atom

Cell lengths 5.4829, 7.8490, 7.8490 Å; angles 114.16, 98.34, 98.34 degrees
Last column: nearest neighbours and their distance in Å.
Sites, in units of the cell vectors:
Er: 0.5836 0.3344 0.0812  2 Pt 2.83-2.90
Er: 0.5836 0.0812 0.3344  2 Pt 2.83-2.90
Er: 0.1882 0.3825 0.3825  2 Pt 3.09, 1 Zn 3.14, 3 Er 3.32-3.38
Er: 0.9968 0.2375 0.7664  2 Pt 2.89-2.90, 1 Zn 3.11
Er: 0.9968 0.7664 0.2375  2 Pt 2.89-2.90, 1 Zn 3.11
Er: 0.8064 0.6269 0.6269  2 Pt 3.09, 1 Zn 3.11, 3 Er 3.32-3.40
Er: 0.4035 0.9252 0.6716  2 Pt 2.84-2.90
Er: 0.4035 0.6716 0.9252  2 Pt 2.84-2.90
Zn: 0.0436 0.0013 0.0013  8 Er 3.11-3.45
Pt: 0.4968 0.6975 0.3094  8 Er 2.83-3.09
Pt: 0.4968 0.3094 0.6975  8 Er 2.83-3.09

=====

Which value of spin magnetization does entry 2 give? 0.000 μB per atom